A plane-wave DFT calculation with GGA-PBE was carried out for MgZn2Mo after structural relaxation.

abc: 2.825 4.319 5.393
angles: 90.00 105.06 90.00
Fractional coordinates of all 4 atoms:
Mg  0.000  0.000  0.000
Zn  0.251  0.000  0.498
Zn  0.390  0.500  0.782
Mo  0.652  0.500  0.303

## Properties
Calculated total energy   -14.48 eV/cell
Space-group type   No. 6
DFT formation energy   0.12 eV/atom